(1)
NdEr2Mg2In2 | PBE | optimized geometry

Properties
- ρ: 6590 kg/m3
- DFT total energy: -3.46 eV per atom

a = 5.0117 Å, b = 5.0117 Å, c = 9.2339 Å
α = 74.25°, β = 74.25°, γ = 60.00°
Positions (direct):
Nd (0.0000, 0.0000, 0.0000)
Er (0.1308, 0.1308, 0.6076)
Er (0.8692, 0.8692, 0.3924)
Mg (0.5934, 0.5934, 0.2199)
Mg (0.4066, 0.4066, 0.7801)
In (0.7402, 0.7402, 0.7793)
In (0.2598, 0.2598, 0.2207)


(2)
ErMgInNi | PBE | optimized geometry

Properties
- ρ: 7497 kg/m3
- DFT total energy: -3.91 eV per atom

a = 4.8538 Å, b = 4.8538 Å, c = 4.8538 Å
α = 60.00°, β = 60.00°, γ = 60.00°
Positions (direct):
Ni (0.0000, 0.0000, 0.0000)
Mg (0.2500, 0.2500, 0.2500)
In (0.5000, 0.5000, 0.5000)
Er (0.7500, 0.7500, 0.7500)


(3)
ErMgInPb | PBE | optimized geometry

Properties
- ρ: 8446 kg/m3
- DFT total energy: -3.48 eV per atom

a = 4.4836 Å, b = 4.6595 Å, c = 4.8331 Å
α = 90.00°, β = 90.00°, γ = 90.00°
Positions (direct):
Er (0.0000, 0.5000, 0.5000)
Mg (0.0000, 0.0000, 0.0000)
In (0.5000, 0.5000, 0.0000)
Pb (0.5000, 0.0000, 0.5000)


(4)
ErMgInPb | PBE | optimized geometry

Properties
- ρ: 8119 kg/m3
- DFT total energy: -3.34 eV per atom

a = 5.2961 Å, b = 5.2961 Å, c = 5.2961 Å
α = 60.00°, β = 60.00°, γ = 60.00°
Positions (direct):
Pb (0.2500, 0.2500, 0.2500)
Mg (0.0000, 0.0000, 0.0000)
In (0.7500, 0.7500, 0.7500)
Er (0.5000, 0.5000, 0.5000)


(5)
ErMg2InPd4 | PBE | optimized geometry

Properties
- ρ: 8783 kg/m3
- DFT total energy: -4.65 eV per atom

a = 4.6669 Å, b = 4.6669 Å, c = 8.0462 Å
α = 73.14°, β = 73.14°, γ = 60.00°
Positions (direct):
Er (0.0000, 0.0000, 0.0000)
Mg (0.7525, 0.7525, 0.7426)
Mg (0.2475, 0.2475, 0.2574)
In (0.5000, 0.5000, 0.5000)
Pd (0.3784, 0.3784, 0.8648)
Pd (0.8746, 0.8746, 0.3762)
Pd (0.1254, 0.1254, 0.6238)
Pd (0.6216, 0.6216, 0.1352)


(6)
ErMgInPd | PBE | optimized geometry

Properties
- ρ: 8104 kg/m3
- DFT total energy: -4.08 eV per atom

a = 4.9273 Å, b = 4.9273 Å, c = 4.9273 Å
α = 60.00°, β = 60.00°, γ = 60.00°
Positions (direct):
Mg (0.7500, 0.7500, 0.7500)
In (0.5000, 0.5000, 0.5000)
Pd (0.0000, 0.0000, 0.0000)
Er (0.2500, 0.2500, 0.2500)


(7)
PmErMgIn | PBE | optimized geometry

Properties
- ρ: 6905 kg/m3
- DFT total energy: -3.73 eV per atom

a = 5.3544 Å, b = 5.3544 Å, c = 5.3544 Å
α = 60.00°, β = 60.00°, γ = 60.00°
Positions (direct):
Mg (0.0000, 0.0000, 0.0000)
Pm (0.2500, 0.2500, 0.2500)
In (0.5000, 0.5000, 0.5000)
Er (0.7500, 0.7500, 0.7500)


(8)
ErMgInPt | PBE | optimized geometry

Properties
- ρ: 10020 kg/m3
- DFT total energy: -4.40 eV per atom

a = 4.8983 Å, b = 4.8983 Å, c = 4.8983 Å
α = 60.00°, β = 60.00°, γ = 60.00°
Positions (direct):
Mg (0.2500, 0.2500, 0.2500)
In (0.0000, 0.0000, 0.0000)
Pt (0.5000, 0.5000, 0.5000)
Er (0.7500, 0.7500, 0.7500)


no.,formation energy (meV/atom)
1,-235
2,-243
3,-332
4,-187
5,-744
6,-553
7,-321
8,-671